A:
First-principles (SCAN) data for LiCaMg2 at its PBEsol-relaxed geometry, as listed in the Alexandria database. Values from VASP.

Results
Total magnetic moment = 0.004 μB/cell

```
&SYSTEM
  ibrav = 0, nat = 4, ntyp = 3
/
ATOMIC_SPECIES
Ca 40.08 Ca.upf
Mg 24.30 Mg.upf
Li 6.94 Li.upf
CELL_PARAMETERS angstrom
3.8182 0.0000 0.0000
0.0000 5.2110 -0.0616
-1.9091 -2.5600 5.1248
ATOMIC_POSITIONS crystal
Ca 0.0000 0.5000 0.0000
Mg 0.2260 0.2261 0.4520
Mg 0.7740 0.7739 0.5480
Li 0.5000 0.0000 0.0000
```



B:
First-principles (SCAN) data for LiCaMg2 at its PBEsol-relaxed geometry, as listed in the Alexandria database. Values from VASP.

Results
Total magnetic moment = 0.065 μB/cell

```
&SYSTEM
  ibrav = 0, nat = 4, ntyp = 3
/
ATOMIC_SPECIES
Ca 40.08 Ca.upf
Mg 24.30 Mg.upf
Li 6.94 Li.upf
CELL_PARAMETERS angstrom
3.6635 0.0000 0.0000
0.0000 3.6635 0.0000
0.0000 0.0000 7.5740
ATOMIC_POSITIONS crystal
Ca 0.0000 0.0000 0.5058
Mg 0.0000 0.0000 0.9869
Mg 0.5000 0.5000 0.2159
Li 0.5000 0.5000 0.7914
```



B ends up most stable, edging out the next structure by 0.013 eV/atom.



A:
First-principles (SCAN) data for LiCaMg2 at its PBEsol-relaxed geometry, as listed in the Alexandria database. Values from VASP.

Results
Total magnetic moment = 0.011 μB/cell

```
&SYSTEM
  ibrav = 0, nat = 4, ntyp = 3
/
ATOMIC_SPECIES
Ca 40.08 Ca.upf
Mg 24.30 Mg.upf
Li 6.94 Li.upf
CELL_PARAMETERS angstrom
4.7183 0.0000 0.0000
0.0000 4.7183 0.0000
-2.3591 -2.3591 4.6234
ATOMIC_POSITIONS crystal
Ca 0.5000 0.5000 0.0000
Mg 0.7500 0.2500 0.5000
Mg 0.2500 0.7500 0.5000
Li 0.0000 0.0000 0.0000
```



B:
First-principles (SCAN) data for LiCaMg2 at its PBEsol-relaxed geometry, as listed in the Alexandria database. Values from VASP.

Results
Total magnetic moment = 0.024 μB/cell

```
&SYSTEM
  ibrav = 0, nat = 4, ntyp = 3
/
ATOMIC_SPECIES
Ca 40.08 Ca.upf
Mg 24.30 Mg.upf
Li 6.94 Li.upf
CELL_PARAMETERS angstrom
-1.2636 2.5479 2.1495
-3.1318 -1.6949 0.1681
2.5216 -4.0376 6.2684
ATOMIC_POSITIONS crystal
Ca 0.5000 0.5000 0.0000
Mg 0.0000 0.0000 0.7053
Mg 0.0000 0.0000 0.2947
Li 0.5000 0.5000 0.5000
```



C:
First-principles (SCAN) data for LiCaMg2 at its PBEsol-relaxed geometry, as listed in the Alexandria database. Values from VASP.

Results
Total magnetic moment = 0.032 μB/cell

```
&SYSTEM
  ibrav = 0, nat = 4, ntyp = 3
/
ATOMIC_SPECIES
Ca 40.08 Ca.upf
Mg 24.30 Mg.upf
Li 6.94 Li.upf
CELL_PARAMETERS angstrom
5.2146 0.0000 0.0000
0.0000 5.2163 0.0000
-2.6073 -2.6082 3.6913
ATOMIC_POSITIONS crystal
Ca 0.5001 0.5001 0.0002
Mg 0.9999 0.9999 0.9997
Mg 0.2500 0.7500 0.5000
Li 0.7500 0.2500 0.5000
```



B ends up most stable, edging out the next structure by 0.015 eV/atom.



A:
First-principles (SCAN) data for LiCaMg at its PBEsol-relaxed geometry, as listed in the Alexandria database. Values from VASP.

Results
Total magnetic moment = 0.043 μB/cell

```
&SYSTEM
  ibrav = 0, nat = 3, ntyp = 3
/
ATOMIC_SPECIES
Ca 40.08 Ca.upf
Mg 24.30 Mg.upf
Li 6.94 Li.upf
CELL_PARAMETERS angstrom
-2.4122 -0.1352 -2.6446
-2.0466 -4.3017 2.0868
-1.7954 4.6765 1.3985
ATOMIC_POSITIONS crystal
Ca 0.9994 0.0000 0.0000
Mg 0.4993 0.6667 0.3333
Li 0.5014 0.3333 0.6667
```



B:
First-principles (SCAN) data for LiCaMg at its PBEsol-relaxed geometry, as listed in the Alexandria database. Values from VASP.

Results
Total magnetic moment = 0.030 μB/cell

```
&SYSTEM
  ibrav = 0, nat = 3, ntyp = 3
/
ATOMIC_SPECIES
Ca 40.08 Ca.upf
Mg 24.30 Mg.upf
Li 6.94 Li.upf
CELL_PARAMETERS angstrom
3.7389 0.0000 0.0000
0.0000 3.7389 0.0000
-1.8695 -1.8695 5.6971
ATOMIC_POSITIONS crystal
Ca 0.0010 0.0010 0.0021
Mg 0.3107 0.3107 0.6215
Li 0.6882 0.6882 0.3764
```



B ends up most stable, edging out the next structure by 0.055 eV/atom.



A:
First-principles (SCAN) data for LiCaMo2 at its PBEsol-relaxed geometry, as listed in the Alexandria database. Values from VASP.

Results
Total magnetic moment = 0.000 μB/cell

```
&SYSTEM
  ibrav = 0, nat = 4, ntyp = 3
/
ATOMIC_SPECIES
Ca 40.08 Ca.upf
Li 6.94 Li.upf
Mo 95.94 Mo.upf
CELL_PARAMETERS angstrom
2.7745 0.0000 -0.0125
0.0000 4.1785 0.0000
-1.3532 0.0000 6.4609
ATOMIC_POSITIONS crystal
Ca 0.5565 0.0000 0.4907
Li 0.2410 0.5000 0.7949
Mo 0.9468 0.0000 0.0214
Mo 0.7557 0.5000 0.1930
```



B:
First-principles (SCAN) data for LiCaMo2 at its PBEsol-relaxed geometry, as listed in the Alexandria database. Values from VASP.

Results
Total magnetic moment = 0.000 μB/cell

```
&SYSTEM
  ibrav = 0, nat = 4, ntyp = 3
/
ATOMIC_SPECIES
Ca 40.08 Ca.upf
Li 6.94 Li.upf
Mo 95.94 Mo.upf
CELL_PARAMETERS angstrom
2.6169 0.0383 0.0000
-0.3515 2.5934 0.0000
0.0000 0.0000 9.9416
ATOMIC_POSITIONS crystal
Ca 0.5000 0.5000 0.5000
Li 0.5000 0.5000 0.0000
Mo 0.0000 0.0000 0.2350
Mo 0.0000 0.0000 0.7650
```



A ends up most stable, edging out the next structure by 0.240 eV/atom.



A:
First-principles (SCAN) data for LiCaMo2 at its PBEsol-relaxed geometry, as listed in the Alexandria database. Values from VASP.

Results
Total magnetic moment = 0.000 μB/cell

```
&SYSTEM
  ibrav = 0, nat = 4, ntyp = 3
/
ATOMIC_SPECIES
Ca 40.08 Ca.upf
Li 6.94 Li.upf
Mo 95.94 Mo.upf
CELL_PARAMETERS angstrom
-0.6492 -2.2740 1.1807
4.6474 0.5158 0.5902
-1.1136 2.9992 5.1638
ATOMIC_POSITIONS crystal
Ca 0.5023 0.0045 0.4980
Li 0.2537 0.5074 0.7829
Mo 0.9940 0.9880 0.0209
Mo 0.7501 0.5002 0.1981
```



B:
First-principles (SCAN) data for LiCaMo2 at its PBEsol-relaxed geometry, as listed in the Alexandria database. Values from VASP.

Results
Total magnetic moment = 0.000 μB/cell

```
&SYSTEM
  ibrav = 0, nat = 4, ntyp = 3
/
ATOMIC_SPECIES
Ca 40.08 Ca.upf
Li 6.94 Li.upf
Mo 95.94 Mo.upf
CELL_PARAMETERS angstrom
-0.7835 -0.4727 -2.5038
0.9747 -4.0030 0.4507
-6.1858 -1.2615 2.1739
ATOMIC_POSITIONS crystal
Ca 0.0000 0.0000 0.5000
Li 0.5000 0.5000 0.7887
Mo 0.0000 0.0000 0.0141
Mo 0.5000 0.5000 0.1972
```



A ends up most stable, edging out the next structure by 0.034 eV/atom.



A:
First-principles (SCAN) data for LiCaMo2 at its PBEsol-relaxed geometry, as listed in the Alexandria database. Values from VASP.

Results
Total magnetic moment = 0.000 μB/cell

```
&SYSTEM
  ibrav = 0, nat = 4, ntyp = 3
/
ATOMIC_SPECIES
Ca 40.08 Ca.upf
Li 6.94 Li.upf
Mo 95.94 Mo.upf
CELL_PARAMETERS angstrom
-1.2006 -2.1959 1.1595
-0.6513 -1.3140 -4.7114
4.5699 -2.4686 0.0568
ATOMIC_POSITIONS crystal
Ca 0.0000 0.5000 0.5000
Li 0.5000 0.0000 0.5000
Mo 0.3669 0.2479 0.0000
Mo 0.6331 0.7521 0.0000
```



B:
First-principles (SCAN) data for LiCaMo2 at its PBEsol-relaxed geometry, as listed in the Alexandria database. Values from VASP.

Results
Total magnetic moment = 0.000 μB/cell

```
&SYSTEM
  ibrav = 0, nat = 4, ntyp = 3
/
ATOMIC_SPECIES
Ca 40.08 Ca.upf
Li 6.94 Li.upf
Mo 95.94 Mo.upf
CELL_PARAMETERS angstrom
-0.7002 -0.0489 -2.5226
0.7472 -2.5045 -0.1589
-9.0876 -2.8748 2.5780
ATOMIC_POSITIONS crystal
Ca 0.5000 0.5000 0.0000
Li 0.5000 0.5000 0.5000
Mo 0.0000 0.0000 0.7341
Mo 0.0000 0.0000 0.2659
```



A ends up most stable, edging out the next structure by 0.077 eV/atom.



A:
First-principles (SCAN) data for LiCaRe2 at its PBEsol-relaxed geometry, as listed in the Alexandria database. Values from VASP.

Results
Total magnetic moment = 0.001 μB/cell

```
&SYSTEM
  ibrav = 0, nat = 4, ntyp = 3
/
ATOMIC_SPECIES
Ca 40.08 Ca.upf
Li 6.94 Li.upf
Re 186.21 Re.upf
CELL_PARAMETERS angstrom
2.6017 0.0000 0.0000
0.0000 2.6017 0.0000
0.0000 0.0000 9.5053
ATOMIC_POSITIONS crystal
Ca 0.5000 0.5000 0.0000
Li 0.5000 0.5000 0.5000
Re 0.0000 0.0000 0.7334
Re 0.0000 0.0000 0.2666
```



B:
First-principles (SCAN) data for LiCaRe2 at its PBEsol-relaxed geometry, as listed in the Alexandria database. Values from VASP.

Results
Total magnetic moment = 0.000 μB/cell

```
&SYSTEM
  ibrav = 0, nat = 4, ntyp = 3
/
ATOMIC_SPECIES
Ca 40.08 Ca.upf
Li 6.94 Li.upf
Re 186.21 Re.upf
CELL_PARAMETERS angstrom
-1.9772 0.5923 -1.7891
-2.3504 -3.3021 1.5043
-1.8684 3.4048 4.5545
ATOMIC_POSITIONS crystal
Ca 0.4999 0.0000 0.5014
Li 0.2244 0.5000 0.7837
Re 0.0148 0.0000 0.0302
Re 0.7609 0.5000 0.1847
```



B ends up most stable, edging out the next structure by 0.238 eV/atom.